The following is a PBE calculation of MgSc2H after structural relaxation, from the Alexandria database.

Cell lengths 6.4331, 6.4331, 7.2689 Å; angles 90.00, 90.00, 90.00 degrees
Space group I-42d (No. 122)
Asymmetric unit:
1 Mg 0.0000 0.0000 0.0000
2 Sc 0.1203 0.2500 0.6250
3 H 0.0000 0.0000 0.5000

Computed properties:
Energy in eV/atom: -4.532
Crystal system: tetragonal

***

The following is a PBE calculation of Cr2MoPb after structural relaxation, from the Alexandria database.

Cell lengths 3.0819, 3.0819, 25.9148 Å; angles 90.00, 90.00, 120.00 degrees
Space group R-3m (No. 166, hexagonal axes)
Asymmetric unit:
1 Cr 0.0000 0.0000 0.2378
2 Mo 0.0000 0.0000 0.5000
3 Pb 0.0000 0.0000 0.0000

Computed properties:
E_form in meV/atom: 649.3
Crystal system: trigonal

***

The following is a PBE calculation of TbPrAl2Zn2 after structural relaxation, from the Alexandria database.

Cell lengths 4.5309, 4.5309, 7.4520 Å; angles 90.00, 90.00, 120.00 degrees
Space group P-3m1 (No. 164)
Asymmetric unit:
1 Tb 0.0000 0.0000 0.0000
2 Pr 0.0000 0.0000 0.5000
3 Al 0.3333 0.6667 0.2290
4 Zn 0.3333 0.6667 0.7782

Computed properties:
E_form in meV/atom: -444.3
Crystal system: trigonal

***

The following is a PBE calculation of BaH16O10 after structural relaxation, from the Alexandria database.

Cell lengths 8.9945, 8.9952, 11.6044 Å; angles 90.00, 90.46, 90.00 degrees
Space group Cc (No. 9)
Asymmetric unit:
1 Ba 0.0000 0.0008 0.0000
2 H 0.0297 0.2342 0.7817
3 H 0.0308 0.2366 0.2179
4 H 0.0524 0.3421 0.1101
5 H 0.0548 0.3385 0.8898
6 H 0.1584 0.4406 0.6073
7 H 0.1602 0.4477 0.3883
8 H 0.2344 0.0290 0.7207
9 H 0.2458 0.2011 0.3483
10 H 0.2539 0.3016 0.6521
11 H 0.2629 0.4716 0.2795
12 H 0.2994 0.2559 0.1534
13 H 0.3048 0.2553 0.8454
14 H 0.3370 0.0530 0.6120
15 H 0.3385 0.0601 0.3926
16 H 0.4392 0.1638 0.1089
17 H 0.4435 0.1603 0.8902
18 O 0.0846 0.2424 0.1438
19 O 0.0864 0.2397 0.8552
20 O 0.2378 0.0924 0.3603
21 O 0.2388 0.0845 0.6471
22 O 0.2590 0.4172 0.3536
23 O 0.2599 0.4102 0.6396
24 O 0.4084 0.2631 0.1432
25 O 0.4138 0.2609 0.8564
26 O 0.4978 0.0007 0.9358
27 O 0.4987 0.0031 0.0641

Computed properties:
Energy in eV/atom: -5.036
Crystal system: monoclinic

***

| no. | DOS(E_F) (states/eV per atom) |
| --- | --- |
| 1 | 1.089 |
| 2 | 0.570 |
| 3 | 0.610 |
| 4 | 0.000 |